<P>
The following is a DFT calculation (PBE) of ScP3C after structural relaxation.

The calculation puts the density of states at the Fermi level at 0.97 states/eV/atom.

It has space group Pm-3m (No. 221), with a = 4.900 Å, b = 4.900 Å, c = 4.900 Å, α = 90.00°, β = 90.00° and γ = 90.00°. The inequivalent atoms are Sc at (0.000, 0.000, 0.000), P at (0.000, 0.000, 0.500) and C at (0.500, 0.500, 0.500).

=====

<Q>
The following is a DFT calculation (PBE) of ScP3C after structural relaxation.

The calculation puts the density of states at the Fermi level at 0.71 states/eV/atom.

It has space group Pm-3m (No. 221), with a = 4.132 Å, b = 4.132 Å, c = 4.132 Å, α = 90.00°, β = 90.00° and γ = 90.00°. The inequivalent atoms are Sc at (0.000, 0.000, 0.000), P at (0.000, 0.500, 0.500) and C at (0.500, 0.500, 0.500).

=====

Least stable = <P>

=====

<P>
The following is a DFT calculation (PBE) of Sc4P2C after structural relaxation.

The calculation puts the density of states at the Fermi level at 0.92 states/eV/atom.

It has space group C2/m (No. 12), with a = 10.721 Å, b = 3.551 Å, c = 7.115 Å, α = 90.00°, β = 117.80° and γ = 90.00°. The inequivalent atoms are Sc at (0.076, 0.000, 0.360), Sc at (0.152, 0.500, 0.058), P at (0.159, 0.500, 0.682) and C at (0.000, 0.000, 0.000).

=====

<Q>
The following is a DFT calculation (PBE) of Sc4P2C after structural relaxation.

The calculation puts the density of states at the Fermi level at 0.77 states/eV/atom.

It has space group Pbam (No. 55), with a = 6.517 Å, b = 10.455 Å, c = 3.692 Å, α = 90.00°, β = 90.00° and γ = 90.00°. The inequivalent atoms are Sc at (0.127, 0.196, 0.000), Sc at (0.217, 0.947, 0.500), P at (0.085, 0.681, 0.500) and C at (0.000, 0.000, 0.000).

=====

Least stable = <P>

=====

<P>
The following is a DFT calculation (PBE) of Sc6P2C after structural relaxation.

The calculation puts the density of states at the Fermi level at 1.28 states/eV/atom.

It has space group P4_2/mnm (No. 136), with a = 5.847 Å, b = 5.847 Å, c = 10.998 Å, α = 90.00°, β = 90.00° and γ = 90.00°. The inequivalent atoms are Sc at (0.193, 0.193, 0.148), Sc at (0.220, 0.220, 0.500), P at (0.000, 0.000, 0.331) and C at (0.000, 0.000, 0.000).

=====

<Q>
The following is a DFT calculation (PBE) of Sc6P2C after structural relaxation.

The calculation puts the density of states at the Fermi level at 0.84 states/eV/atom.

It has space group P2_1/c (No. 14), with a = 5.749 Å, b = 6.890 Å, c = 10.116 Å, α = 90.00°, β = 123.21° and γ = 90.00°. The inequivalent atoms are Sc at (0.119, 0.166, 0.446), Sc at (0.303, 0.696, 0.447), Sc at (0.372, 0.032, 0.248), P at (0.191, 0.115, 0.753) and C at (0.500, 0.000, 0.500).

=====

Least stable = <P>

=====

<P>
The following is a DFT calculation (PBE) of PCSe3 after structural relaxation.

The calculation puts the density of states at the Fermi level at 0.97 states/eV/atom.

It has space group Pm-3m (No. 221), with a = 4.802 Å, b = 4.802 Å, c = 4.802 Å, α = 90.00°, β = 90.00° and γ = 90.00°. The inequivalent atoms are P at (0.000, 0.000, 0.000), C at (0.500, 0.500, 0.500) and Se at (0.000, 0.000, 0.500).

=====

<Q>
The following is a DFT calculation (PBE) of PCSe3 after structural relaxation.

The calculation puts the density of states at the Fermi level at 0.41 states/eV/atom.

It has space group Pm-3m (No. 221), with a = 4.388 Å, b = 4.388 Å, c = 4.388 Å, α = 90.00°, β = 90.00° and γ = 90.00°. The inequivalent atoms are P at (0.000, 0.000, 0.000), C at (0.500, 0.500, 0.500) and Se at (0.000, 0.500, 0.500).

=====

Least stable = <P>

=====

<P>
The following is a DFT calculation (PBE) of SrPC2Se after structural relaxation.

The calculation puts the density of states at the Fermi level at 0.80 states/eV/atom.

It has space group P4/mmm (No. 123), with a = 4.170 Å, b = 4.170 Å, c = 5.901 Å, α = 90.00°, β = 90.00° and γ = 90.00°. The inequivalent atoms are Sr at (0.000, 0.000, 0.000), P at (0.500, 0.500, 0.000), C at (0.000, 0.500, 0.500) and Se at (0.000, 0.000, 0.500).

=====

<Q>
The following is a DFT calculation (PBE) of SrPC2Se after structural relaxation.

The calculation puts the density of states at the Fermi level at 0.83 states/eV/atom.

It has space group P4/mmm (No. 123), with a = 4.249 Å, b = 4.249 Å, c = 4.893 Å, α = 90.00°, β = 90.00° and γ = 90.00°. The inequivalent atoms are Sr at (0.000, 0.000, 0.000), P at (0.500, 0.500, 0.000), C at (0.000, 0.500, 0.500) and Se at (0.500, 0.500, 0.500).

=====

Least stable = <P>

=====

<P>
The following is a DFT calculation (PBE) of SiPC2 after structural relaxation.

The calculation puts the density of states at the Fermi level at 0.19 states/eV/atom.

It has space group Cm (No. 8), with a = 5.355 Å, b = 3.065 Å, c = 5.233 Å, α = 90.00°, β = 109.85° and γ = 90.00°. The inequivalent atoms are Si at (0.000, 0.000, 0.000), P at (0.498, 0.000, 0.491), C at (0.369, 0.500, 0.609) and C at (0.373, 0.000, 0.124).

=====

<Q>
The following is a DFT calculation (PBE) of SiPC2 after structural relaxation.

The calculation puts the density of states at the Fermi level at 0.11 states/eV/atom.

It has space group Imm2 (No. 44), with a = 2.476 Å, b = 4.741 Å, c = 10.039 Å, α = 90.00°, β = 90.00° and γ = 90.00°. The inequivalent atoms are Si at (0.000, 0.000, 0.000), P at (0.000, 0.500, 0.060), C at (0.000, 0.000, 0.810) and C at (0.000, 0.500, 0.244).

=====

Least stable = <P>